First-principles (GGA-PBE) data for a geometry-optimized TbNbPO structure, as listed in the Open Quantum Materials Database.

a = 4.160 Å, b = 4.160 Å, c = 7.522 Å
α = 90.00°, β = 90.00°, γ = 90.00°
Positions (direct):
Tb1 0.250 0.750 0.000
Tb2 0.750 0.250 0.000
Nb1 0.250 0.250 0.398
Nb2 0.750 0.750 0.602
P1 0.250 0.250 0.752
P2 0.750 0.750 0.248
O1 0.250 0.750 0.500
O2 0.750 0.250 0.500

Calculated values
Its space-group type is No. 129. The spin magnetization comes out at 0.3 μB/cell. For the raw total energy, the calculation gives -7.091 eV/atom.

First-principles (GGA-PBE) data for a geometry-optimized NbTcPO structure, as listed in the Open Quantum Materials Database.

a = 3.759 Å, b = 3.759 Å, c = 7.344 Å
α = 90.00°, β = 90.00°, γ = 90.00°
Positions (direct):
Nb1 0.250 0.750 0.000
Nb2 0.750 0.250 0.000
Tc1 0.250 0.250 0.333
Tc2 0.750 0.750 0.667
P1 0.250 0.250 0.749
P2 0.750 0.750 0.251
O1 0.250 0.750 0.500
O2 0.750 0.250 0.500

Calculated values
Its space-group type is No. 129. The spin magnetization comes out at 0.0 μB/cell. For the raw total energy, the calculation gives -7.934 eV/atom.

First-principles (GGA-PBE) data for a geometry-optimized NbTcPO structure, as listed in the Open Quantum Materials Database.

a = 3.591 Å, b = 5.380 Å, c = 5.910 Å
α = 90.00°, β = 90.00°, γ = 90.00°
Positions (direct):
Nb1 0.000 0.109 0.000
Nb2 0.000 0.891 0.500
Tc1 0.500 0.394 0.335
Tc2 0.500 0.606 0.835
P1 0.500 0.206 0.709
P2 0.500 0.794 0.209
O1 0.000 0.235 0.326
O2 0.000 0.765 0.826

Calculated values
Its space-group type is No. 26. The spin magnetization comes out at 0.4 μB/cell. For the raw total energy, the calculation gives -8.483 eV/atom.

First-principles (GGA-PBE) data for a geometry-optimized NbTcPO structure, as listed in the Open Quantum Materials Database.

a = 4.250 Å, b = 4.250 Å, c = 5.979 Å
α = 90.00°, β = 90.00°, γ = 90.00°
Positions (direct):
Nb1 0.250 0.750 0.000
Nb2 0.750 0.250 0.000
Tc1 0.250 0.250 0.385
Tc2 0.750 0.750 0.615
P1 0.250 0.250 0.787
P2 0.750 0.750 0.213
O1 0.250 0.750 0.500
O2 0.750 0.250 0.500

Calculated values
Its space-group type is No. 129. The spin magnetization comes out at 2.1 μB/cell. For the raw total energy, the calculation gives -8.007 eV/atom.

First-principles (GGA-PBE) data for a geometry-optimized NbTcPO structure, as listed in the Open Quantum Materials Database.

a = 3.699 Å, b = 3.699 Å, c = 7.683 Å
α = 90.00°, β = 90.00°, γ = 90.00°
Positions (direct):
Nb1 0.250 0.250 0.165
Nb2 0.750 0.750 0.835
Tc1 0.250 0.750 0.500
Tc2 0.750 0.250 0.500
P1 0.250 0.250 0.697
P2 0.750 0.750 0.303
O1 0.250 0.750 0.000
O2 0.750 0.250 0.000

Calculated values
Its space-group type is No. 129. The spin magnetization comes out at 0.0 μB/cell. For the raw total energy, the calculation gives -8.586 eV/atom.

First-principles (GGA-PBE) data for a geometry-optimized NbTlPO structure, as listed in the Open Quantum Materials Database.

a = 4.039 Å, b = 4.039 Å, c = 8.896 Å
α = 90.00°, β = 90.00°, γ = 90.00°
Positions (direct):
Nb1 0.250 0.250 0.089
Nb2 0.750 0.750 0.911
Tl1 0.250 0.750 0.500
Tl2 0.750 0.250 0.500
P1 0.250 0.250 0.788
P2 0.750 0.750 0.212
O1 0.250 0.750 0.000
O2 0.750 0.250 0.000

Calculated values
Its space-group type is No. 129. The spin magnetization comes out at 0.0 μB/cell. For the raw total energy, the calculation gives -6.078 eV/atom.

First-principles (GGA-PBE) data for a geometry-optimized NbTlP2O8 structure, as listed in the Open Quantum Materials Database.

a = 5.019 Å, b = 5.019 Å, c = 8.247 Å
α = 92.87°, β = 92.87°, γ = 63.07°
Positions (direct):
Nb1 0.000 0.000 0.000
Tl1 0.000 0.000 0.500
P1 0.360 0.360 0.210
P2 0.640 0.640 0.790
O1 0.220 0.220 0.079
O2 0.224 0.697 0.168
O3 0.303 0.776 0.832
O4 0.313 0.313 0.381
O5 0.687 0.687 0.619
O6 0.697 0.224 0.168
O7 0.776 0.303 0.832
O8 0.780 0.780 0.921

Calculated values
Its space-group type is No. 12. The spin magnetization comes out at 0.0 μB/cell. For the raw total energy, the calculation gives -7.428 eV/atom.

First-principles (GGA-PBE) data for a geometry-optimized NbTlPO structure, as listed in the Open Quantum Materials Database.

a = 3.420 Å, b = 7.174 Å, c = 7.151 Å
α = 90.00°, β = 90.00°, γ = 90.00°
Positions (direct):
Nb1 0.000 0.099 0.000
Nb2 0.000 0.901 0.500
Tl1 0.500 0.293 0.550
Tl2 0.500 0.707 0.050
P1 0.500 0.335 0.959
P2 0.500 0.665 0.459
O1 0.000 0.035 0.264
O2 0.000 0.965 0.764

Calculated values
Its space-group type is No. 26. The spin magnetization comes out at 0.0 μB/cell. For the raw total energy, the calculation gives -6.514 eV/atom.

What did the fifth record say?
First-principles (GGA-PBE) data for a geometry-optimized NbTcPO structure, as listed in the Open Quantum Materials Database.

a = 3.699 Å, b = 3.699 Å, c = 7.683 Å
α = 90.00°, β = 90.00°, γ = 90.00°
Positions (direct):
Nb1 0.250 0.250 0.165
Nb2 0.750 0.750 0.835
Tc1 0.250 0.750 0.500
Tc2 0.750 0.250 0.500
P1 0.250 0.250 0.697
P2 0.750 0.750 0.303
O1 0.250 0.750 0.000
O2 0.750 0.250 0.000

Calculated values
Its space-group type is No. 129. The spin magnetization comes out at 0.0 μB/cell. For the raw total energy, the calculation gives -8.586 eV/atom.

Among the records above, which one has the highest raw total energy? number 6